# 1
Here is a geometry-optimized SrNi2Au structure from the Open Quantum Materials Database. Energies are from PBE.

SG: F-43m (216)
Uncorrected energy (eV per cell): -60.4

a = 6.658 Å, b = 6.658 Å, c = 6.658 Å
α = 90.00°, β = 90.00°, γ = 90.00°
Fractional positions:
Sr 0.000 0.000 0.000
Sr 0.000 0.500 0.500
Sr 0.500 0.000 0.500
Sr 0.500 0.500 0.000
Ni 0.000 0.000 0.500
Ni 0.000 0.500 0.000
Ni 0.250 0.250 0.750
Ni 0.250 0.750 0.250
Ni 0.500 0.000 0.000
Ni 0.500 0.500 0.500
Ni 0.750 0.250 0.250
Ni 0.750 0.750 0.750
Au 0.250 0.250 0.250
Au 0.250 0.750 0.750
Au 0.750 0.250 0.750
Au 0.750 0.750 0.250

# 2
Here is a geometry-optimized PaBeBi4 structure from the Open Quantum Materials Database. Energies are from PBE.

SG: Cmmm (65)
Uncorrected energy (eV per cell): -54.2

a = 10.477 Å, b = 10.668 Å, c = 3.352 Å
α = 90.00°, β = 90.00°, γ = 90.00°
Fractional positions:
Pa 0.000 0.000 0.000
Pa 0.500 0.500 0.000
Be 0.000 0.500 0.500
Be 0.500 0.000 0.500
Bi 0.000 0.253 0.500
Bi 0.000 0.747 0.500
Bi 0.201 0.500 0.000
Bi 0.299 0.000 0.000
Bi 0.500 0.247 0.500
Bi 0.500 0.753 0.500
Bi 0.701 0.000 0.000
Bi 0.799 0.500 0.000

# 3
Here is a geometry-optimized TmZnSn2 structure from the Open Quantum Materials Database. Energies are from PBE.

SG: P4/nmm (129)
Uncorrected energy (eV per cell): -30.8

a = 4.333 Å, b = 4.333 Å, c = 9.780 Å
α = 90.00°, β = 90.00°, γ = 90.00°
Fractional positions:
Tm 0.250 0.250 0.250
Tm 0.750 0.750 0.750
Zn 0.250 0.750 0.000
Zn 0.750 0.250 0.000
Sn 0.250 0.250 0.811
Sn 0.250 0.750 0.500
Sn 0.750 0.250 0.500
Sn 0.750 0.750 0.189

# 4
Here is a geometry-optimized InCuReAg structure from the Open Quantum Materials Database. Energies are from PBE.

SG: F-43m (216)
Uncorrected energy (eV per cell): -75.5

a = 6.447 Å, b = 6.447 Å, c = 6.447 Å
α = 90.00°, β = 90.00°, γ = 90.00°
Fractional positions:
In 0.000 0.000 0.000
In 0.000 0.500 0.500
In 0.500 0.000 0.500
In 0.500 0.500 0.000
Cu 0.250 0.250 0.250
Cu 0.250 0.750 0.750
Cu 0.750 0.250 0.750
Cu 0.750 0.750 0.250
Re 0.250 0.250 0.750
Re 0.250 0.750 0.250
Re 0.750 0.250 0.250
Re 0.750 0.750 0.750
Ag 0.000 0.000 0.500
Ag 0.000 0.500 0.000
Ag 0.500 0.000 0.000
Ag 0.500 0.500 0.500

# 5
Here is a geometry-optimized SrCdSO structure from the Open Quantum Materials Database. Energies are from PBE.

SG: P4/nmm (129)
Uncorrected energy (eV per cell): -33.7

a = 4.176 Å, b = 4.176 Å, c = 10.583 Å
α = 90.00°, β = 90.00°, γ = 90.00°
Fractional positions:
Sr 0.250 0.250 0.099
Sr 0.750 0.750 0.901
Cd 0.250 0.250 0.617
Cd 0.750 0.750 0.383
S 0.250 0.250 0.375
S 0.750 0.750 0.625
O 0.250 0.750 0.000
O 0.750 0.250 0.000

# 6
Here is a geometry-optimized NaInCoAs structure from the Open Quantum Materials Database. Energies are from PBE.

SG: F-43m (216)
Uncorrected energy (eV per cell): -56.2

a = 6.644 Å, b = 6.644 Å, c = 6.644 Å
α = 90.00°, β = 90.00°, γ = 90.00°
Fractional positions:
Na 0.000 0.000 0.000
Na 0.000 0.500 0.500
Na 0.500 0.000 0.500
Na 0.500 0.500 0.000
In 0.250 0.250 0.750
In 0.250 0.750 0.250
In 0.750 0.250 0.250
In 0.750 0.750 0.750
Co 0.250 0.250 0.250
Co 0.250 0.750 0.750
Co 0.750 0.250 0.750
Co 0.750 0.750 0.250
As 0.000 0.000 0.500
As 0.000 0.500 0.000
As 0.500 0.000 0.000
As 0.500 0.500 0.500

# 7
Here is a geometry-optimized PrAlPO structure from the Open Quantum Materials Database. Energies are from PBE.

SG: Pmc2_1 (26)
Uncorrected energy (eV per cell): -51.1

a = 4.025 Å, b = 4.622 Å, c = 7.080 Å
α = 90.00°, β = 90.00°, γ = 90.00°
Fractional positions:
Pr 0.000 0.183 0.000
Pr 0.000 0.817 0.500
Al 0.500 0.320 0.346
Al 0.500 0.680 0.846
P 0.500 0.188 0.689
P 0.500 0.812 0.189
O 0.000 0.319 0.347
O 0.000 0.681 0.847

# 8
Here is a geometry-optimized InCuSiPd structure from the Open Quantum Materials Database. Energies are from PBE.

SG: F-43m (216)
Uncorrected energy (eV per cell): -68.2

a = 6.359 Å, b = 6.359 Å, c = 6.359 Å
α = 90.00°, β = 90.00°, γ = 90.00°
Fractional positions:
In 0.000 0.000 0.000
In 0.000 0.500 0.500
In 0.500 0.000 0.500
In 0.500 0.500 0.000
Cu 0.250 0.250 0.750
Cu 0.250 0.750 0.250
Cu 0.750 0.250 0.250
Cu 0.750 0.750 0.750
Si 0.000 0.000 0.500
Si 0.000 0.500 0.000
Si 0.500 0.000 0.000
Si 0.500 0.500 0.500
Pd 0.250 0.250 0.250
Pd 0.250 0.750 0.750
Pd 0.750 0.250 0.750
Pd 0.750 0.750 0.250